[1]
The following is a DFT calculation (SCAN) of a PBEsol-optimized structure of CaLa4Rh.

Output
E_form ... 48.0 kJ/mol of atoms

```
data_CaLa4Rh
_chemical_formula_sum 'Ca4 La16 Rh4'
_space_group_name_H-M_alt 'F -4 3 m'
_space_group_IT_number 216
_space_group_name_Hall 'F -4 2 3'
_cell_length_a 8.946
_cell_length_b 8.946
_cell_length_c 8.946
_cell_angle_alpha 90.00
_cell_angle_beta 90.00
_cell_angle_gamma 90.00
loop_
_atom_site_label
_atom_site_type_symbol
_atom_site_fract_x
_atom_site_fract_y
_atom_site_fract_z
Ca1 Ca 0.000 0.000 0.000
La1 La 0.122 0.122 0.622
Rh1 Rh 0.250 0.250 0.250
```

---

[2]
The following is a DFT calculation (SCAN) of a PBEsol-optimized structure of CaLa2Rh2.

Output
E_form ... -60.6 kJ/mol of atoms

```
data_CaLa2Rh2
_chemical_formula_sum 'Ca2 La4 Rh4'
_space_group_name_H-M_alt 'P 4/m b m'
_space_group_IT_number 127
_space_group_name_Hall '-P 4 2ab'
_cell_length_a 7.923
_cell_length_b 7.923
_cell_length_c 3.840
_cell_angle_alpha 90.00
_cell_angle_beta 90.00
_cell_angle_gamma 90.00
loop_
_atom_site_label
_atom_site_type_symbol
_atom_site_fract_x
_atom_site_fract_y
_atom_site_fract_z
Ca1 Ca 0.000 0.000 0.000
La1 La 0.155 0.345 0.500
Rh1 Rh 0.141 0.641 0.000
```

---

[3]
The following is a DFT calculation (SCAN) of a PBEsol-optimized structure of CaLaRu2.

Output
E_form ... -8.2 kJ/mol of atoms

```
data_CaLaRu2
_chemical_formula_sum 'Ca2 La2 Ru4'
_space_group_name_H-M_alt 'A m m 2'
_space_group_IT_number 38
_cell_length_a 4.275
_cell_length_b 4.480
_cell_length_c 10.064
_cell_angle_alpha 90.00
_cell_angle_beta 90.00
_cell_angle_gamma 90.00
loop_
_space_group_symop_operation_xyz
'x,y,z'
'-x,-y,z'
'-x,y,z'
'x,-y,z'
'x,y+1/2,z+1/2'
'-x,-y+1/2,z+1/2'
'-x,y+1/2,z+1/2'
'x,-y+1/2,z+1/2'
loop_
_atom_site_label
_atom_site_type_symbol
_atom_site_fract_x
_atom_site_fract_y
_atom_site_fract_z
Ca1 Ca 0.000 0.000 0.000
La1 La 0.500 0.000 0.288
Ru1 Ru 0.000 0.000 0.695
Ru2 Ru 0.500 0.000 0.599
```

---

[4]
The following is a DFT calculation (SCAN) of a PBEsol-optimized structure of CaLaRu2.

Output
E_form ... 36.3 kJ/mol of atoms

```
data_CaLaRu2
_chemical_formula_sum 'Ca2 La2 Ru4'
_space_group_name_H-M_alt 'I -4 m 2'
_space_group_IT_number 119
_space_group_name_Hall 'I -4 -2'
_cell_length_a 4.000
_cell_length_b 4.000
_cell_length_c 9.717
_cell_angle_alpha 90.00
_cell_angle_beta 90.00
_cell_angle_gamma 90.00
loop_
_atom_site_label
_atom_site_type_symbol
_atom_site_fract_x
_atom_site_fract_y
_atom_site_fract_z
Ca1 Ca 0.000 0.000 0.000
La1 La 0.000 0.500 0.250
Ru1 Ru 0.000 0.000 0.500
Ru2 Ru 0.000 0.500 0.750
```

---

[5]
The following is a DFT calculation (SCAN) of a PBEsol-optimized structure of CaLaRu4.

Output
E_form ... 0.1 kJ/mol of atoms

```
data_CaLaRu4
_chemical_formula_sum 'Ca4 La4 Ru16'
_space_group_name_H-M_alt 'F -4 3 m'
_space_group_IT_number 216
_space_group_name_Hall 'F -4 2 3'
_cell_length_a 7.530
_cell_length_b 7.530
_cell_length_c 7.530
_cell_angle_alpha 90.00
_cell_angle_beta 90.00
_cell_angle_gamma 90.00
loop_
_atom_site_label
_atom_site_type_symbol
_atom_site_fract_x
_atom_site_fract_y
_atom_site_fract_z
Ca1 Ca 0.000 0.000 0.000
La1 La 0.250 0.250 0.750
Ru1 Ru 0.125 0.125 0.375
```

---

[6]
The following is a DFT calculation (SCAN) of a PBEsol-optimized structure of CaLa2Ru2.

Output
E_form ... 16.5 kJ/mol of atoms

```
data_CaLa2Ru2
_chemical_formula_sum 'Ca2 La4 Ru4'
_space_group_name_H-M_alt 'I 4/m m m'
_space_group_IT_number 139
_space_group_name_Hall '-I 4 2'
_cell_length_a 3.988
_cell_length_b 3.988
_cell_length_c 18.570
_cell_angle_alpha 90.00
_cell_angle_beta 90.00
_cell_angle_gamma 90.00
loop_
_atom_site_label
_atom_site_type_symbol
_atom_site_fract_x
_atom_site_fract_y
_atom_site_fract_z
Ca1 Ca 0.000 0.000 0.000
La1 La 0.000 0.000 0.346
Ru1 Ru 0.000 0.500 0.250
```

---

[7]
The following is a DFT calculation (SCAN) of a PBEsol-optimized structure of CaLa2Sc.

Output
E_form ... 17.6 kJ/mol of atoms

```
data_CaLa2Sc
_chemical_formula_sum 'Ca2 La4 Sc2'
_space_group_name_H-M_alt 'C m m 2'
_space_group_IT_number 35
_cell_length_a 3.683
_cell_length_b 5.868
_cell_length_c 11.930
_cell_angle_alpha 90.00
_cell_angle_beta 90.00
_cell_angle_gamma 90.00
loop_
_space_group_symop_operation_xyz
'x,y,z'
'-x,-y,z'
'-x,y,z'
'x,-y,z'
'x+1/2,y+1/2,z'
'-x+1/2,-y+1/2,z'
'-x+1/2,y+1/2,z'
'x+1/2,-y+1/2,z'
loop_
_atom_site_label
_atom_site_type_symbol
_atom_site_fract_x
_atom_site_fract_y
_atom_site_fract_z
Ca1 Ca 0.000 0.000 0.000
La1 La 0.000 0.000 0.533
La2 La 0.000 0.500 0.271
Sc1 Sc 0.000 0.500 0.760
```

---

[8]
The following is a DFT calculation (SCAN) of a PBEsol-optimized structure of CaLa2Sc.

Output
E_form ... 7.5 kJ/mol of atoms

```
data_CaLa2Sc
_chemical_formula_sum 'Ca1 La2 Sc1'
_space_group_name_H-M_alt 'P 4/m m m'
_space_group_IT_number 123
_space_group_name_Hall '-P 4 2'
_cell_length_a 3.661
_cell_length_b 3.661
_cell_length_c 9.815
_cell_angle_alpha 90.00
_cell_angle_beta 90.00
_cell_angle_gamma 90.00
loop_
_atom_site_label
_atom_site_type_symbol
_atom_site_fract_x
_atom_site_fract_y
_atom_site_fract_z
Ca1 Ca 0.000 0.000 0.000
La1 La 0.500 0.500 0.279
Sc1 Sc 0.000 0.000 0.500
```

---

[9]
The following is a DFT calculation (SCAN) of a PBEsol-optimized structure of CaLa2Sc.

Output
E_form ... 12.4 kJ/mol of atoms

```
data_CaLa2Sc
_chemical_formula_sum 'Ca1 La2 Sc1'
_space_group_name_H-M_alt 'P m m 2'
_space_group_IT_number 25
_cell_length_a 3.546
_cell_length_b 5.053
_cell_length_c 7.176
_cell_angle_alpha 90.00
_cell_angle_beta 90.00
_cell_angle_gamma 90.00
loop_
_space_group_symop_operation_xyz
'x,y,z'
'-x,-y,z'
'-x,y,z'
'x,-y,z'
loop_
_atom_site_label
_atom_site_type_symbol
_atom_site_fract_x
_atom_site_fract_y
_atom_site_fract_z
Ca1 Ca 0.000 0.000 0.000
La1 La 0.000 0.000 0.510
La2 La 0.500 0.500 0.286
Sc1 Sc 0.500 0.500 0.746
```

---

[10]
The following is a DFT calculation (SCAN) of a PBEsol-optimized structure of CaLa2Sc.

Output
E_form ... 13.3 kJ/mol of atoms

```
data_CaLa2Sc
_chemical_formula_sum 'Ca2 La4 Sc2'
_space_group_name_H-M_alt 'I m m 2'
_space_group_IT_number 44
_cell_length_a 3.893
_cell_length_b 5.785
_cell_length_c 11.557
_cell_angle_alpha 90.00
_cell_angle_beta 90.00
_cell_angle_gamma 90.00
loop_
_space_group_symop_operation_xyz
'x,y,z'
'-x,-y,z'
'-x,y,z'
'x,-y,z'
'x+1/2,y+1/2,z+1/2'
'-x+1/2,-y+1/2,z+1/2'
'-x+1/2,y+1/2,z+1/2'
'x+1/2,-y+1/2,z+1/2'
loop_
_atom_site_label
_atom_site_type_symbol
_atom_site_fract_x
_atom_site_fract_y
_atom_site_fract_z
Ca1 Ca 0.000 0.000 0.000
La1 La 0.000 0.000 0.533
La2 La 0.000 0.500 0.767
Sc1 Sc 0.000 0.500 0.266
```

---

[11]
The following is a DFT calculation (SCAN) of a PBEsol-optimized structure of CaLa2Sc.

Output
E_form ... 10.6 kJ/mol of atoms

```
data_CaLa2Sc
_chemical_formula_sum 'Ca1 La2 Sc1'
_space_group_name_H-M_alt 'P 4 m m'
_space_group_IT_number 99
_cell_length_a 3.608
_cell_length_b 3.608
_cell_length_c 9.948
_cell_angle_alpha 90.00
_cell_angle_beta 90.00
_cell_angle_gamma 90.00
loop_
_space_group_symop_operation_xyz
'x,y,z'
'-y,x,z'
'-x,-y,z'
'y,-x,z'
'-x,y,z'
'y,x,z'
'x,-y,z'
'-y,-x,z'
loop_
_atom_site_label
_atom_site_type_symbol
_atom_site_fract_x
_atom_site_fract_y
_atom_site_fract_z
Ca1 Ca 0.000 0.000 0.000
La1 La 0.000 0.000 0.538
La2 La 0.500 0.500 0.293
Sc1 Sc 0.500 0.500 0.754
```

---

[12]
The following is a DFT calculation (SCAN) of a PBEsol-optimized structure of CaLa2Sc.

Output
E_form ... 8.2 kJ/mol of atoms

```
data_CaLa2Sc
_chemical_formula_sum 'Ca3 La6 Sc3'
_space_group_name_H-M_alt 'R -3 m'
_space_group_IT_number 166
_space_group_name_Hall '-R 3 2"'
_cell_length_a 3.5583
_cell_length_b 3.5583
_cell_length_c 35.1944
_cell_angle_alpha 90.00
_cell_angle_beta 90.00
_cell_angle_gamma 120.00
loop_
_atom_site_label
_atom_site_type_symbol
_atom_site_fract_x
_atom_site_fract_y
_atom_site_fract_z
Ca1 Ca 0.0000 0.0000 0.0000
La1 La 0.0000 0.0000 0.2428
Sc1 Sc 0.0000 0.0000 0.5000
```

---

[13]
The following is a DFT calculation (SCAN) of a PBEsol-optimized structure of CaLaSe2.

Output
Formation energy without anion corrections ... -2.198 eV/atom

```
data_CaLaSe2
_chemical_formula_sum 'Ca3 La3 Se6'
_space_group_name_H-M_alt 'R -3 m'
_space_group_IT_number 166
_space_group_name_Hall '-R 3 2"'
_cell_length_a 4.1791
_cell_length_b 4.1791
_cell_length_c 20.7800
_cell_angle_alpha 90.00
_cell_angle_beta 90.00
_cell_angle_gamma 120.00
loop_
_atom_site_label
_atom_site_type_symbol
_atom_site_fract_x
_atom_site_fract_y
_atom_site_fract_z
Ca1 Ca 0.0000 0.0000 0.0000
La1 La 0.0000 0.0000 0.5000
Se1 Se 0.0000 0.0000 0.2538
```

---

[14]
The following is a DFT calculation (SCAN) of a PBEsol-optimized structure of CaLaSe2.

Output
Formation energy without anion corrections ... -2.203 eV/atom

```
data_CaLaSe2
_chemical_formula_sum 'Ca1 La1 Se2'
_space_group_name_H-M_alt 'P 4/m m m'
_space_group_IT_number 123
_space_group_name_Hall '-P 4 2'
_cell_length_a 4.210
_cell_length_b 4.210
_cell_length_c 5.963
_cell_angle_alpha 90.00
_cell_angle_beta 90.00
_cell_angle_gamma 90.00
loop_
_atom_site_label
_atom_site_type_symbol
_atom_site_fract_x
_atom_site_fract_y
_atom_site_fract_z
Ca1 Ca 0.000 0.000 0.000
La1 La 0.500 0.500 0.500
Se1 Se 0.000 0.000 0.500
Se2 Se 0.500 0.500 0.000
```

---

[15]
The following is a DFT calculation (SCAN) of a PBEsol-optimized structure of CaLaSe.

Output
Formation energy without anion corrections ... -1.195 eV/atom

```
data_CaLaSe
_chemical_formula_sum 'Ca2 La2 Se2'
_space_group_name_H-M_alt 'I 4 m m'
_space_group_IT_number 107
_space_group_name_Hall 'I 4 -2'
_cell_length_a 3.631
_cell_length_b 3.631
_cell_length_c 13.382
_cell_angle_alpha 90.00
_cell_angle_beta 90.00
_cell_angle_gamma 90.00
loop_
_atom_site_label
_atom_site_type_symbol
_atom_site_fract_x
_atom_site_fract_y
_atom_site_fract_z
Ca1 Ca 0.000 0.000 0.000
La1 La 0.000 0.000 0.263
Se1 Se 0.000 0.000 0.631
```

---

[16]
The following is a DFT calculation (SCAN) of a PBEsol-optimized structure of CaLaW2Se.

Output
Formation energy without anion corrections ... 2.188 eV/atom

```
data_CaLaW2Se
_chemical_formula_sum 'Ca1 La1 W2 Se1'
_space_group_name_H-M_alt 'P 4/m m m'
_space_group_IT_number 123
_space_group_name_Hall '-P 4 2'
_cell_length_a 4.816
_cell_length_b 4.816
_cell_length_c 5.519
_cell_angle_alpha 90.00
_cell_angle_beta 90.00
_cell_angle_gamma 90.00
loop_
_atom_site_label
_atom_site_type_symbol
_atom_site_fract_x
_atom_site_fract_y
_atom_site_fract_z
Ca1 Ca 0.000 0.000 0.000
La1 La 0.000 0.000 0.500
W1 W 0.000 0.500 0.500
Se1 Se 0.500 0.500 0.000
```

---

[17]
The following is a DFT calculation (SCAN) of a PBEsol-optimized structure of Ca2LaSi2.

Output
Formation energy without anion corrections ... 0.006 eV/atom

```
data_Ca2LaSi2
_chemical_formula_sum 'Ca4 La2 Si4'
_space_group_name_H-M_alt 'I 4/m m m'
_space_group_IT_number 139
_space_group_name_Hall '-I 4 2'
_cell_length_a 5.211
_cell_length_b 5.211
_cell_length_c 10.315
_cell_angle_alpha 90.00
_cell_angle_beta 90.00
_cell_angle_gamma 90.00
loop_
_atom_site_label
_atom_site_type_symbol
_atom_site_fract_x
_atom_site_fract_y
_atom_site_fract_z
Ca1 Ca 0.000 0.000 0.155
La1 La 0.000 0.000 0.500
Si1 Si 0.000 0.500 0.250
```

---

[18]
The following is a DFT calculation (SCAN) of a PBEsol-optimized structure of Ca3LaSi8.

Output
Formation energy without anion corrections ... -0.447 eV/atom

```
data_Ca3LaSi8
_chemical_formula_sum 'Ca3 La1 Si8'
_space_group_name_H-M_alt 'P -4 m 2'
_space_group_IT_number 115
_cell_length_a 4.269
_cell_length_b 4.269
_cell_length_c 13.425
_cell_angle_alpha 90.00
_cell_angle_beta 90.00
_cell_angle_gamma 90.00
loop_
_space_group_symop_operation_xyz
'x,y,z'
'y,-x,-z'
'-x,-y,z'
'-y,x,-z'
'-x,y,z'
'-y,-x,-z'
'x,-y,z'
'y,x,-z'
loop_
_atom_site_label
_atom_site_type_symbol
_atom_site_fract_x
_atom_site_fract_y
_atom_site_fract_z
Ca1 Ca 0.000 0.000 0.000
Ca2 Ca 0.000 0.500 0.753
La1 La 0.500 0.500 0.500
Si1 Si 0.000 0.000 0.414
Si2 Si 0.000 0.500 0.163
Si3 Si 0.000 0.500 0.334
Si4 Si 0.500 0.500 0.085
```

---

[19]
The following is a DFT calculation (SCAN) of a PBEsol-optimized structure of CaLa2Si.

Output
Formation energy without anion corrections ... -0.195 eV/atom

```
data_CaLa2Si
_chemical_formula_sum 'Ca1 La2 Si1'
_space_group_name_H-M_alt 'P 1 m 1'
_space_group_IT_number 6
_cell_length_a 3.959
_cell_length_b 3.960
_cell_length_c 7.319
_cell_angle_alpha 90.00
_cell_angle_beta 90.07
_cell_angle_gamma 90.00
loop_
_space_group_symop_operation_xyz
'x,y,z'
'x,-y,z'
loop_
_atom_site_label
_atom_site_type_symbol
_atom_site_fract_x
_atom_site_fract_y
_atom_site_fract_z
Ca1 Ca 0.000 0.000 0.000
La1 La 0.499 0.500 0.649
La2 La 0.998 0.000 0.423
Si1 Si 0.498 0.500 0.232
```

---

[20]
The following is a DFT calculation (SCAN) of a PBEsol-optimized structure of CaLaSi3.

Output
Formation energy without anion corrections ... 0.796 eV/atom

```
data_CaLaSi3
_chemical_formula_sum 'Ca1 La1 Si3'
_space_group_name_H-M_alt 'P m -3 m'
_space_group_IT_number 221
_space_group_name_Hall '-P 4 2 3'
_cell_length_a 5.369
_cell_length_b 5.369
_cell_length_c 5.369
_cell_angle_alpha 90.00
_cell_angle_beta 90.00
_cell_angle_gamma 90.00
loop_
_atom_site_label
_atom_site_type_symbol
_atom_site_fract_x
_atom_site_fract_y
_atom_site_fract_z
Ca1 Ca 0.000 0.000 0.000
La1 La 0.500 0.500 0.500
Si1 Si 0.000 0.500 0.500
```